[1]
VASP calculation (PBE) on a relaxed Ca2MnAs crystal.

Cell and atoms, written as CIF:
```
data_Ca2MnAs
_cell_length_a 6.388
_cell_length_b 6.388
_cell_length_c 6.388
_cell_angle_alpha 145.23
_cell_angle_beta 137.02
_cell_angle_gamma 56.42
_space_group_name_H-M_alt 'P 1'
_space_group_IT_number 1
loop_
_space_group_symop_operation_xyz
'x,y,z'
loop_
_atom_site_label
_atom_site_fract_x
_atom_site_fract_y
_atom_site_fract_z
Ca1 0.000 0.000 0.000
Ca2 0.719 0.219 0.500
Mn1 0.422 0.422 0.000
As1 0.270 0.770 0.500
```

Computed properties:
formation energy from the elements	-0.30	eV per atom
space-group type	Imm2, No. 44

[2]
VASP calculation (PBE) on a relaxed Ba2NaGe4Au3 crystal.

Cell and atoms, written as CIF:
```
data_Ba2NaGe4Au3
_cell_length_a 4.695
_cell_length_b 4.695
_cell_length_c 11.057
_cell_angle_alpha 90.00
_cell_angle_beta 90.00
_cell_angle_gamma 90.00
_space_group_name_H-M_alt 'P 1'
_space_group_IT_number 1
loop_
_space_group_symop_operation_xyz
'x,y,z'
loop_
_atom_site_label
_atom_site_fract_x
_atom_site_fract_y
_atom_site_fract_z
Ba1 0.000 0.500 0.247
Ba2 0.500 0.000 0.753
Na1 0.000 0.000 0.500
Ge1 0.000 0.000 0.000
Ge2 0.000 0.500 0.644
Ge3 0.500 0.000 0.356
Ge4 0.500 0.500 0.000
Au1 0.000 0.500 0.880
Au2 0.500 0.000 0.120
Au3 0.500 0.500 0.500
```

Computed properties:
formation energy from the elements	-0.42	eV per atom
space-group type	P-4m2, No. 115

[3]
VASP calculation (PBE) on a relaxed In3ICl2 crystal.

Cell and atoms, written as CIF:
```
data_In3ICl2
_cell_length_a 8.496
_cell_length_b 8.496
_cell_length_c 6.747
_cell_angle_alpha 90.00
_cell_angle_beta 90.00
_cell_angle_gamma 77.50
_space_group_name_H-M_alt 'P 1'
_space_group_IT_number 1
loop_
_space_group_symop_operation_xyz
'x,y,z'
loop_
_atom_site_label
_atom_site_fract_x
_atom_site_fract_y
_atom_site_fract_z
In1 0.192 0.514 0.083
In2 0.213 0.787 0.500
In3 0.486 0.808 0.083
In4 0.514 0.192 0.583
In5 0.787 0.213 0.000
In6 0.808 0.486 0.583
I1 0.101 0.899 0.935
I2 0.899 0.101 0.435
Cl1 0.139 0.469 0.662
Cl2 0.469 0.139 0.162
Cl3 0.531 0.861 0.662
Cl4 0.861 0.531 0.162
```

Computed properties:
E_form (uncorrected)	-14.83	kcal/mol of atoms
space-group type	Cmc2_1, No. 36

[4]
VASP calculation (PBE) on a relaxed AcTbIn crystal.

Cell and atoms, written as CIF:
```
data_AcTbIn
_cell_length_a 5.166
_cell_length_b 5.166
_cell_length_c 7.946
_cell_angle_alpha 98.44
_cell_angle_beta 98.44
_cell_angle_gamma 90.03
_space_group_name_H-M_alt 'P 1'
_space_group_IT_number 1
loop_
_space_group_symop_operation_xyz
'x,y,z'
loop_
_atom_site_label
_atom_site_fract_x
_atom_site_fract_y
_atom_site_fract_z
Ac1 0.188 0.188 0.190
Ac2 0.812 0.812 0.810
Tb1 0.315 0.315 0.749
Tb2 0.685 0.685 0.251
In1 0.242 0.758 0.500
In2 0.758 0.242 0.500
```

Computed properties:
formation energy from the elements	-0.13	eV per atom
energy relative to the lowest polymorph listed for this composition	176	meV/atom
space-group type	C2/m, No. 12